Density functional theory data (GGA-PBE) for a geometry-optimized CdBiSb2 structure.

POSCAR file:
```
CdBiSb2
1.0
4.122 0.000 0.000
0.000 4.122 0.000
0.000 0.000 6.606
Cd Bi Sb
1 1 2
Direct
0.000 0.000 0.000 Cd
0.000 0.000 0.500 Bi
0.500 0.500 0.233 Sb
0.500 0.500 0.767 Sb
```

Output
energy relative to the elements, uncorrected: 170.7 meV per atom
DOS(E_F): 2.51 states/eV/f.u.

=====

Density functional theory data (GGA-PBE) for a geometry-optimized CuHg3Pd12 structure.

POSCAR file:
```
CuHg3Pd12
1.0
4.013 0.000 0.000
0.000 4.013 0.000
0.000 0.000 16.124
Cu Hg Pd
1 3 12
Direct
0.000 0.000 0.000 Cu
0.000 0.000 0.244 Hg
0.000 0.000 0.500 Hg
0.000 0.000 0.756 Hg
0.000 0.500 0.115 Pd
0.000 0.500 0.371 Pd
0.000 0.500 0.629 Pd
0.000 0.500 0.885 Pd
0.500 0.000 0.115 Pd
0.500 0.000 0.371 Pd
0.500 0.000 0.629 Pd
0.500 0.000 0.885 Pd
0.500 0.500 0.000 Pd
0.500 0.500 0.242 Pd
0.500 0.500 0.500 Pd
0.500 0.500 0.758 Pd
```

Output
energy relative to the elements: -0.0844 eV/atom
DOS(E_F): 22.78 states/eV/f.u.

=====

Density functional theory data (GGA-PBE) for a geometry-optimized Sm6Sn3Sb structure.

POSCAR file:
```
Sm6Sn3Sb
1.0
5.299 -7.723 0.000
5.299 7.723 0.000
0.000 0.000 7.855
Sm Sn Sb
12 6 2
Direct
0.022 0.978 0.500 Sm
0.093 0.521 0.989 Sm
0.248 0.337 0.355 Sm
0.280 0.720 0.410 Sm
0.337 0.248 0.855 Sm
0.479 0.907 0.989 Sm
0.521 0.093 0.489 Sm
0.663 0.752 0.355 Sm
0.720 0.280 0.910 Sm
0.752 0.663 0.855 Sm
0.907 0.479 0.489 Sm
0.978 0.022 0.000 Sm
0.034 0.274 0.707 Sn
0.274 0.034 0.207 Sn
0.435 0.565 0.076 Sn
0.565 0.435 0.576 Sn
0.726 0.966 0.707 Sn
0.966 0.726 0.207 Sn
0.167 0.833 0.762 Sb
0.833 0.167 0.262 Sb
```

Output
energy relative to the elements, uncorrected: -556.4 meV per atom
DOS(E_F): 10.11 states/eV/f.u.

=====

Density functional theory data (GGA-PBE) for a geometry-optimized LiP2Pd8 structure.

POSCAR file:
```
LiP2Pd8
1.0
3.664 -5.311 0.000
3.664 5.311 0.000
-1.163 0.000 4.266
Li P Pd
1 2 8
Direct
0.000 0.000 0.000 Li
0.320 0.680 0.500 P
0.680 0.320 0.500 P
0.068 0.326 0.592 Pd
0.244 0.756 0.000 Pd
0.326 0.068 0.592 Pd
0.380 0.380 0.188 Pd
0.620 0.620 0.812 Pd
0.674 0.932 0.408 Pd
0.756 0.244 0.000 Pd
0.932 0.674 0.408 Pd
```

Output
energy relative to the elements: -0.4295 eV/atom
DOS(E_F): 4.63 states/eV/f.u.

=====

Density functional theory data (GGA-PBE) for a geometry-optimized GdFe4Mo structure.

POSCAR file:
```
GdFe4Mo
1.0
0.000 3.497 3.497
3.497 0.000 3.497
3.497 3.497 0.000
Gd Fe Mo
1 4 1
Direct
0.000 0.000 0.000 Gd
0.127 0.624 0.624 Fe
0.624 0.127 0.624 Fe
0.624 0.624 0.127 Fe
0.624 0.624 0.624 Fe
0.250 0.250 0.250 Mo
```

Output
energy relative to the elements: 0.1709 eV/atom
DOS(E_F): 7.66 states/eV/f.u.

=====

Density functional theory data (GGA-PBE) for a geometry-optimized Pm8In3 structure.

POSCAR file:
```
Pm8In3
1.0
5.134 2.964 4.287
-5.134 2.964 4.287
0.000 -5.928 4.287
Pm In
8 3
Direct
0.142 0.142 0.142 Pm
0.184 0.624 0.357 Pm
0.357 0.184 0.624 Pm
0.376 0.643 0.816 Pm
0.624 0.357 0.184 Pm
0.643 0.816 0.376 Pm
0.816 0.376 0.643 Pm
0.858 0.858 0.858 Pm
0.000 0.000 0.500 In
0.000 0.500 0.000 In
0.500 0.000 0.000 In
```

Output
energy relative to the elements: 0.0539 eV/atom
DOS(E_F): 20.90 states/eV/f.u.

=====

Density functional theory data (GGA-PBE) for a geometry-optimized Rb3HoNp2Se6 structure.

POSCAR file:
```
Rb3HoNp2Se6
1.0
3.707 -6.421 0.000
3.707 6.421 0.000
-2.472 0.000 7.992
Rb Ho Np Se
3 1 2 6
Direct
0.000 0.000 0.000 Rb
0.333 0.667 0.000 Rb
0.667 0.333 0.000 Rb
0.500 0.500 0.500 Ho
0.167 0.833 0.500 Np
0.833 0.167 0.500 Np
0.105 0.435 0.304 Se
0.235 0.235 0.696 Se
0.435 0.105 0.304 Se
0.565 0.895 0.696 Se
0.765 0.765 0.304 Se
0.895 0.565 0.696 Se
```

Output
energy relative to the elements, uncorrected: -1391.9 meV per atom
DOS(E_F): 19.99 states/eV/f.u.

=====

Density functional theory data (GGA-PBE) for a geometry-optimized TeIr2 structure.

POSCAR file:
```
TeIr2
1.0
3.141 0.000 0.000
-1.570 2.720 0.000
0.000 0.000 6.198
Te Ir
1 2
Direct
0.000 0.000 0.000 Te
0.333 0.667 0.332 Ir
0.667 0.333 0.668 Ir
```

Output
energy relative to the elements, uncorrected: 636.3 meV per atom
DOS(E_F): 3.98 states/eV/f.u.

=====

Density functional theory data (GGA-PBE) for a geometry-optimized Rb2PuBeO6 structure.

POSCAR file:
```
Rb2PuBeO6
1.0
6.282 0.000 0.000
-3.141 5.440 0.000
0.000 0.000 5.046
Rb Pu Be O
2 1 1 6
Direct
0.333 0.667 0.321 Rb
0.667 0.333 0.679 Rb
0.000 0.000 0.000 Pu
0.000 0.000 0.500 Be
0.135 0.269 0.737 O
0.135 0.865 0.737 O
0.269 0.135 0.263 O
0.731 0.865 0.737 O
0.865 0.135 0.263 O
0.865 0.731 0.263 O
```

Output
energy relative to the elements, uncorrected: -1930.3 meV per atom

=====

Density functional theory data (GGA-PBE) for a geometry-optimized Sm3CoGe2 structure.

POSCAR file:
```
Sm3CoGe2
1.0
11.803 0.000 0.000
0.000 4.204 0.000
0.000 0.000 11.386
Sm Co Ge
12 4 8
Direct
0.055 0.250 0.129 Sm
0.119 0.750 0.555 Sm
0.224 0.250 0.798 Sm
0.276 0.750 0.298 Sm
0.381 0.250 0.055 Sm
0.445 0.750 0.629 Sm
0.555 0.250 0.371 Sm
0.619 0.750 0.945 Sm
0.724 0.250 0.702 Sm
0.776 0.750 0.202 Sm
0.881 0.250 0.445 Sm
0.945 0.750 0.871 Sm
0.132 0.250 0.367 Co
0.368 0.750 0.867 Co
0.632 0.250 0.133 Co
0.868 0.750 0.633 Co
0.020 0.750 0.316 Ge
0.195 0.750 0.996 Ge
0.305 0.250 0.496 Ge
0.480 0.250 0.816 Ge
0.520 0.750 0.184 Ge
0.695 0.750 0.504 Ge
0.805 0.250 0.004 Ge
0.980 0.250 0.684 Ge
```

Output
energy relative to the elements: -0.6866 eV/atom
DOS(E_F): 2.92 states/eV/f.u.

=====

Density functional theory data (GGA-PBE) for a geometry-optimized ReP2Pd structure.

POSCAR file:
```
ReP2Pd
1.0
1.519 0.877 7.957
-1.519 0.877 7.957
0.000 -1.754 7.957
Re P Pd
1 2 1
Direct
0.000 0.000 0.000 Re
0.403 0.403 0.403 P
0.597 0.597 0.597 P
0.500 0.500 0.500 Pd
```

Output
energy relative to the elements: -0.2345 eV/atom
DOS(E_F): 2.09 states/eV/f.u.

=====

Density functional theory data (GGA-PBE) for a geometry-optimized K2AuBr7 structure.

POSCAR file:
```
K2AuBr7
1.0
-4.036 4.036 5.721
4.036 -4.036 5.721
4.036 4.036 -5.721
K Au Br
2 1 7
Direct
0.250 0.750 0.500 K
0.750 0.250 0.500 K
0.000 0.000 0.000 Au
0.218 0.218 0.437 Br
0.218 0.782 0.000 Br
0.275 0.275 0.000 Br
0.500 0.500 0.000 Br
0.725 0.725 0.000 Br
0.782 0.218 0.000 Br
0.782 0.782 0.563 Br
```

Output
energy relative to the elements, uncorrected: -740.9 meV per atom